Record 1
Compound: Cs2KCdTe
Source: Alexandria
Functional: GGA-PBE
Structure: relaxed

Output
D(E_F) (states/eV/atom): 0.998
SG: No. 123
V (Å³/cell): 351.1
Distance to the lowest polymorph of the same formula (meV/atom): 282
ΔE_f (raw) (eV per atom): -0.16

Lattice parameters (Å, degrees): 7.570 7.570 6.127 90.00 90.00 90.00
Atoms (fractional coordinates):
Cs1 0.000 0.500 0.000
Cs2 0.500 0.000 0.000
K1 0.000 0.000 0.000
Cd1 0.500 0.500 0.500
Te1 0.000 0.000 0.500

---

Record 2
Compound: Ac2ErGa3Pd4
Source: Alexandria
Functional: GGA-PBE
Structure: relaxed

Output
D(E_F) (states/eV/atom): 0.607
SG: No. 115
V (Å³/cell): 221.1
Energy of formation from the pure elements (meV per atom): -817

Lattice parameters (Å, degrees): 4.410 4.410 11.368 90.00 90.00 90.00
Atoms (fractional coordinates):
Ac1 0.000 0.500 0.231
Ac2 0.500 0.000 0.769
Er1 0.000 0.000 0.500
Ga1 0.000 0.500 0.883
Ga2 0.500 0.000 0.117
Ga3 0.500 0.500 0.500
Pd1 0.000 0.000 0.000
Pd2 0.000 0.500 0.654
Pd3 0.500 0.000 0.346
Pd4 0.500 0.500 0.000

---

Record 3
Compound: BaTbP2Pt4
Source: Alexandria
Functional: GGA-PBE
Structure: relaxed

Output
D(E_F) (states/eV/atom): 0.518
SG: No. 123
V (Å³/cell): 174.0
Energy of formation from the pure elements (meV per atom): -887

Lattice parameters (Å, degrees): 4.103 4.103 10.340 90.00 90.00 90.00
Atoms (fractional coordinates):
Ba1 0.000 0.000 0.000
Tb1 0.000 0.000 0.500
P1 0.500 0.500 0.181
P2 0.500 0.500 0.819
Pt1 0.000 0.500 0.294
Pt2 0.000 0.500 0.706
Pt3 0.500 0.000 0.294
Pt4 0.500 0.000 0.706

---

no.,energy (eV per atom)
1,-1.53
2,-5.08
3,-6.08